Record 1
A plane-wave DFT calculation with PBE-GGA was carried out for an optimized crystal structure of NdTmSiAg.

V: 94 Å³/cell
Raw formation energy: -0.41 eV per atom
Total moment: 0.000 μB/f.u.

Structure (POSCAR):
```
NdTmSiAg
1.0
-0.772 -4.397 2.475
3.113 -3.964 -0.807
3.248 -1.479 3.649
Si Tm Nd Ag
1 1 1 1
Direct
0.750 0.750 0.750
0.000 0.000 0.000
0.500 0.500 0.500
0.250 0.250 0.250
```

Record 2
A plane-wave DFT calculation with PBE-GGA was carried out for an optimized crystal structure of Li2CrW.

V: 58 Å³/cell
Total moment: 0.003 μB/f.u.
E_form: 0.482 eV/atom
Offset from the most stable computed form: 59 kJ/mol of formula units

Structure (POSCAR):
```
Li2CrW
1.0
4.204 0.000 0.000
0.000 2.489 -0.027
0.000 0.814 5.550
Cr Li W
1 2 1
Direct
0.500 0.780 0.724
0.000 0.010 0.006
0.500 0.206 0.241
0.000 0.504 0.529
```

Record 3
A plane-wave DFT calculation with PBE-GGA was carried out for an optimized crystal structure of Cs2OsPb.

V: 158 Å³/cell
Total moment: 1.575 μB/f.u.
E_form: 1.561 eV/atom
Offset from the most stable computed form: 275 kJ/mol of formula units

Structure (POSCAR):
```
Cs2OsPb
1.0
-3.491 -2.199 4.443
1.203 -5.440 2.390
2.178 -0.417 5.643
Pb Cs Os
1 2 1
Direct
0.500 0.500 0.500
0.250 0.250 0.250
0.750 0.750 0.750
0.000 0.000 0.000
```

Record 4
A plane-wave DFT calculation with PBE-GGA was carried out for an optimized crystal structure of Ba2In6Ir.

V: 258 Å³/cell
Total moment: 0.000 μB/f.u.
E_form: -0.333 eV/atom

Structure (POSCAR):
```
Ba2In6Ir
1.0
-2.260 5.681 0.038
-2.335 -0.975 6.509
4.073 1.582 5.448
Ba In Ir
2 6 1
Direct
0.796 0.667 0.667
0.204 0.333 0.333
0.301 0.334 0.833
0.301 0.833 0.833
0.301 0.833 0.334
0.699 0.666 0.167
0.699 0.167 0.167
0.699 0.167 0.666
0.000 0.000 0.000
```